Entry 1:
Sr2USe4: optimized geometry, PBE.

Calculated values
For the uncorrected formation energy, the calculation gives -1664 meV/atom. The calculation puts the density of states at the Fermi level at 9.3 states/eV/cell. For the density, the calculation gives 5.64 g/cm³. The space group is No. 55.

Cell: 4.3852 7.7155 12.6895 Å, 90.00 90.00 90.00°
Closest atoms and distances in Å follow each position.
Fractional coordinates of all 14 atoms:
Se1 0.0000 0.3702 0.2061  1 U 2.80, 4 Sr 3.10
Sr1 0.5000 0.9111 0.8171  6 Se 3.10-3.24
Se2 0.5000 0.2677 0.9523  2 U 2.90, 2 Sr 3.24
U1 0.0000 0.0000 0.5000  6 Se 2.80-2.90
Se3 0.5000 0.7677 0.5477  2 U 2.90, 2 Sr 3.24
Se4 0.0000 0.1298 0.7061  1 U 2.80, 4 Sr 3.10
U2 0.0000 0.5000 0.0000  6 Se 2.80-2.90
Se5 0.5000 0.7323 0.0477  2 U 2.90, 2 Sr 3.24
Se6 0.5000 0.2323 0.4523  2 U 2.90, 2 Sr 3.24
Se7 0.0000 0.6298 0.7939  1 U 2.80, 4 Sr 3.10
Sr2 0.5000 0.0889 0.1829  6 Se 3.10-3.24
Se8 0.0000 0.8702 0.2939  1 U 2.80, 4 Sr 3.10
Sr3 0.5000 0.4111 0.6829  6 Se 3.10-3.24
Sr4 0.5000 0.5889 0.3171  6 Se 3.10-3.24


Entry 2:
Sr3USe6: optimized geometry, PBE.

Calculated values
For the uncorrected formation energy, the calculation gives -1581 meV/atom. For the density, the calculation gives 5.20 g/cm³. The space group is No. 14.

Cell: 7.2650 7.9755 10.7469 Å, 90.00 90.47 90.00°
Closest atoms and distances in Å follow each position.
Fractional coordinates of all 20 atoms:
Se1 0.1341 0.0477 0.7686  1 U 2.71
Se2 0.3384 0.7917 0.4257  1 U 2.72
Sr1 0.4645 0.0925 0.2500  6 Se 3.13-3.33
Se3 0.1996 0.3249 0.4340  1 U 2.68
Se4 0.8659 0.9523 0.2314  1 U 2.71
Sr2 0.0355 0.5925 0.2500  6 Se 3.13-3.33
U1 0.5000 0.5000 0.5000  6 Se 2.68-2.72
Se5 0.3659 0.5477 0.7314  1 U 2.71
U2 0.0000 0.0000 0.0000  6 Se 2.68-2.72
Sr3 0.5000 0.5000 0.0000  6 Se 3.06-3.08
Se6 0.8004 0.6751 0.5660  1 U 2.68
Se7 0.1616 0.2917 0.0743  1 U 2.72
Sr4 0.9645 0.4075 0.7500  6 Se 3.13-3.33
Sr5 0.5355 0.9075 0.7500  6 Se 3.13-3.33
Se8 0.6616 0.2083 0.5743  1 U 2.72
Se9 0.6341 0.4523 0.2686  1 U 2.71
Se10 0.6996 0.1751 0.9340  1 U 2.68
Se11 0.3004 0.8249 0.0660  1 U 2.68
Sr6 0.0000 0.0000 0.5000  6 Se 3.06-3.08
Se12 0.8384 0.7083 0.9257  1 U 2.72


Entry 3:
SrU2Se4: optimized geometry, PBE.

Calculated values
For the uncorrected formation energy, the calculation gives -1315 meV/atom. The calculation puts the density of states at the Fermi level at 7.0 states/eV/cell. For the density, the calculation gives 6.68 g/cm³. The space group is No. 10. The energy above the lowest structure with this stoichiometry is 0.300 eV/f.u.

Cell: 4.1278 6.8871 7.6854 Å, 90.26 90.00 90.00°
Closest atoms and distances in Å follow each position.
Fractional coordinates of all 7 atoms:
Se1 0.0000 0.6628 0.2183  3 U 2.87-2.88, 1 Sr 3.17
Se2 0.5000 0.8393 0.7701  3 U 2.93-2.94, 2 Sr 3.13
Sr1 0.0000 0.0000 0.5000  6 Se 3.13-3.17
U1 0.5000 0.5000 0.0000  6 Se 2.88-2.94
Se3 0.5000 0.1607 0.2299  3 U 2.93-2.94, 2 Sr 3.13
U2 0.0000 0.0000 0.0000  6 Se 2.87-2.93
Se4 0.0000 0.3372 0.7817  3 U 2.87-2.88, 1 Sr 3.17